## CsGePt2 (PBE)

Data for crystalline CsGePt2 at its relaxed geometry.

Summary:
Formation energy from the elements = -8.4 kJ per mole of atoms
Total moment = 0.00 μB/f.u.
Calculated volume = 184.5 Å³/f.u.
Total DFT energy (no corrections) = -4.4754 eV per atom
Density = 5361 kg/m³

a b c (Å): 5.177 11.340 12.574
angles (deg): 90.00 89.69 90.00
Element x y z (fractional)
Cs1 0.089 0.748 0.250
Ge1 0.749 0.500 0.092
Pt1 0.536 0.344 0.983
Cs2 0.911 0.252 0.750
Ge2 0.251 0.500 0.908
Pt2 0.964 0.844 0.517
Pt3 0.036 0.156 0.483
Pt4 0.964 0.656 0.983
Pt5 0.464 0.656 0.017
Pt6 0.036 0.344 0.017
Pt7 0.536 0.156 0.517
Pt8 0.464 0.844 0.483
Ge3 0.249 0.000 0.592
Cs3 0.589 0.752 0.750
Ge4 0.751 0.000 0.408
Cs4 0.411 0.248 0.250

***

## CsGe3Pt2 (PBE)

Data for crystalline CsGe3Pt2 at its relaxed geometry.

Summary:
Formation energy from the elements = -31.2 kJ per mole of atoms
Total moment = 0.00 μB/f.u.
Calculated volume = 154.4 Å³/f.u.
Total DFT energy (no corrections) = -4.7879 eV per atom
Density = 7970 kg/m³

a b c (Å): 4.482 7.836 9.493
angles (deg): 104.25 90.00 106.62
Element x y z (fractional)
Ge1 0.635 0.270 0.715
Ge2 0.682 0.364 0.448
Ge3 0.988 0.975 0.643
Pt1 0.150 0.301 0.588
Pt2 0.473 0.945 0.740
Cs1 0.136 0.272 0.050
Pt3 0.850 0.699 0.412
Ge4 0.365 0.730 0.285
Ge5 0.318 0.636 0.552
Cs2 0.864 0.728 0.950
Pt4 0.527 0.055 0.260
Ge6 0.012 0.025 0.357

***

## CsGe2Pt (PBE)

Data for crystalline CsGe2Pt at its relaxed geometry.

Summary:
Formation energy from the elements = -11.8 kJ per mole of atoms
Total moment = 0.00 μB/f.u.
Calculated volume = 130.9 Å³/f.u.
Total DFT energy (no corrections) = -4.1549 eV per atom
Density = 6006 kg/m³

a b c (Å): 5.802 5.802 8.791
angles (deg): 70.73 70.73 90.00
Element x y z (fractional)
Ge1 0.875 0.125 0.750
Cs1 0.500 0.500 0.000
Pt1 0.000 0.000 0.000
Pt2 0.750 0.250 0.500
Ge2 0.875 0.125 0.250
Ge3 0.875 0.625 0.250
Ge4 0.375 0.125 0.750
Cs2 0.250 0.750 0.500

***

## CsGe3Pt (PBE)

Data for crystalline CsGe3Pt at its relaxed geometry.

Summary:
Formation energy from the elements = 219.8 kJ per mole of atoms
Total moment = 0.00 μB/f.u.
Calculated volume = 174.5 Å³/f.u.
Total DFT energy (no corrections) = -1.8710 eV per atom
Density = 5196 kg/m³

a b c (Å): 5.588 5.588 5.588
angles (deg): 90.00 90.00 90.00
Element x y z (fractional)
Ge1 0.500 0.000 0.000
Ge2 0.000 0.000 0.500
Ge3 0.000 0.500 0.000
Pt1 0.500 0.500 0.500
Cs1 0.000 0.000 0.000